Record 1
RbDyMgCl6 after structural relaxation, computed with PBE.

The space group is P-31c (No. 163) and the conventional cell measures 6.7930, 6.7930 and 14.6374 Å, with angles of 90.00, 90.00 and 120.00 degrees. The asymmetric unit holds Rb at (0.0000, 0.0000, 0.0000), Dy at (0.3333, 0.6667, 0.2500), Mg at (0.3333, 0.6667, 0.7500) and Cl at (0.0129, 0.3824, 0.6489).

The value obtained for the raw formation energy is -2107 meV per atom.


Record 2
Dy6MgNi after structural relaxation, computed with PBE.

The space group is P-1 (No. 2) and the conventional cell measures 6.936, 6.943 and 7.149 Å, with angles of 90.09, 118.93 and 119.94 degrees. The asymmetric unit holds Dy at (0.053, 0.077, 0.259), Dy at (0.283, 0.705, 0.258), Dy at (0.318, 0.524, 0.742), Mg at (0.500, 0.000, 0.000) and Ni at (0.500, 0.500, 0.500).

The formation energy from the elements is 153 meV/atom.


Record 3
Tb3Co7Ge2 after structural relaxation, computed with PBE.

The space group is R-3m (No. 166, hexagonal axes) and the conventional cell measures 5.2057, 5.2057 and 22.9416 Å, with angles of 90.00, 90.00 and 120.00 degrees. The asymmetric unit holds Tb at (0.0000, 0.0000, 0.0000), Tb at (0.0000, 0.0000, 0.1411), Co at (0.0000, 0.0000, 0.5000), Co at (0.0039, 0.5020, 0.0815) and Ge at (0.0000, 0.0000, 0.3326).

The formation energy from the elements is -329 meV/atom.


Record 4
Cs2AsNCl6 after structural relaxation, computed with PBE.

The space group is I4/mmm (No. 139) and the conventional cell measures 7.401, 7.401 and 10.759 Å, with angles of 90.00, 90.00 and 90.00 degrees. The asymmetric unit holds Cs at (0.000, 0.500, 0.250), As at (0.000, 0.000, 0.000), N at (0.000, 0.000, 0.500), Cl at (0.000, 0.000, 0.225) and Cl at (0.231, 0.231, 0.000).

The value obtained for the raw formation energy is -629 meV per atom.


Record 5
SiRhO2 after structural relaxation, computed with PBE.

The space group is R-3m (No. 166, hexagonal axes) and the conventional cell measures 3.0295, 3.0295 and 17.6808 Å, with angles of 90.00, 90.00 and 120.00 degrees. The asymmetric unit holds Si at (0.0000, 0.0000, 0.0000), Rh at (0.0000, 0.0000, 0.5000) and O at (0.0000, 0.0000, 0.1042).

The value obtained for the raw formation energy is -597 meV per atom.


Record 6
SrAcI2N after structural relaxation, computed with PBE.

The space group is P4/nmm (No. 129, origin choice 2) and the conventional cell measures 4.540, 4.540 and 17.659 Å, with angles of 90.00, 90.00 and 90.00 degrees. The asymmetric unit holds Sr at (0.250, 0.250, 0.126), Ac at (0.250, 0.250, 0.562), I at (0.250, 0.250, 0.299), I at (0.250, 0.250, 0.919) and N at (0.250, 0.750, 0.500).

The value obtained for the raw formation energy is -1265 meV per atom.


Record 7
K2NiAs after structural relaxation, computed with PBE.

The space group is Pmm2 (No. 25) and the conventional cell measures 3.432, 3.444 and 9.907 Å, with angles of 90.00, 90.00 and 90.00 degrees. The asymmetric unit holds K at (0.000, 0.000, 0.000), K at (0.500, 0.500, 0.420), Ni at (0.000, 0.000, 0.686) and As at (0.500, 0.500, 0.747).

The formation energy from the elements is 8 meV/atom.


Record 8
CaZr4Si after structural relaxation, computed with PBE.

The space group is F-43m (No. 216) and the conventional cell measures 8.307, 8.307 and 8.307 Å, with angles of 90.00, 90.00 and 90.00 degrees. The asymmetric unit holds Ca at (0.000, 0.000, 0.000), Zr at (0.127, 0.127, 0.373) and Si at (0.250, 0.250, 0.750).

The value obtained for the raw formation energy is 426 meV per atom.